Entry 1:
An optimized crystal structure of In2MoW. Source: Alexandria via LeMat-Bulk, functional GGA-PBE.

POSCAR file:
```
In2MoW
1.0
-1.8986 -2.3753 -1.4289
2.9410 -3.3189 1.6094
-2.5178 -0.3371 3.9059
Mo In W
1 2 1
direct
0.5000 0.0000 0.5000
0.5000 0.5000 0.0000
0.0000 0.0000 0.0000
0.0000 0.5000 0.5000
```

Crystal system   orthorhombic
DOS(E_F)   0.77 states/eV per atom
Energy relative to the elements   586 meV per atom
Energy above the lowest structure with this stoichiometry   0.288 eV/atom

Entry 2:
An optimized crystal structure of NaTl4Sb. Source: Alexandria via LeMat-Bulk, functional GGA-PBE.

POSCAR file:
```
NaTl4Sb
1.0
-2.7400 5.7659 0.9835
-5.0299 0.5426 4.0157
0.7119 2.9868 5.6826
Na Tl Sb
1 4 1
direct
0.2500 0.2500 0.2500
0.1232 0.6256 0.6256
0.6256 0.6256 0.1232
0.6256 0.6256 0.6256
0.6256 0.1232 0.6256
0.0000 0.0000 0.0000
```

ΔE_f (raw)   0.04 eV/atom
Crystal system   cubic
DOS(E_F)   0.25 states/eV per atom
Energy above the lowest structure with this stoichiometry   0.126 eV/atom

Entry 3:
An optimized crystal structure of Ce2Pm5Ge5. Source: Alexandria via LeMat-Bulk, functional GGA-PBE.

POSCAR file:
```
Ce2Pm5Ge5
1.0
-3.4695 0.7452 -2.2740
5.2967 -1.2038 -4.5698
-4.4513 -11.5896 2.9934
Pm Ge Ce
5 5 2
direct
0.2600 0.5201 0.6466
0.5000 0.0000 0.5000
0.7400 0.4799 0.3534
0.6587 0.3174 0.0523
0.3413 0.6826 0.9477
0.3035 0.6070 0.1982
0.6965 0.3930 0.8018
0.0000 0.0000 0.0000
0.1184 0.2368 0.4262
0.8816 0.7632 0.5738
0.0340 0.0680 0.7842
0.9660 0.9320 0.2158
```

Crystal system   monoclinic
DOS(E_F)   1.31 states/eV per atom
Energy relative to the elements   -620 meV per atom

Entry 4:
An optimized crystal structure of Ca6PtRh. Source: Alexandria via LeMat-Bulk, functional GGA-PBE.

POSCAR file:
```
Ca6PtRh
1.0
-5.3393 -2.6682 3.3506
6.2427 -0.1953 2.8007
-2.2463 11.8171 5.8309
Ca Rh Pt
12 2 2
direct
0.6688 0.9981 0.3770
0.0019 0.3312 0.1230
0.3293 0.3312 0.3770
0.6707 0.6688 0.6230
0.9981 0.6688 0.8770
0.3312 0.3293 0.8770
0.9981 0.3293 0.6230
0.0019 0.6707 0.3770
0.3293 0.9981 0.1230
0.6707 0.0019 0.8770
0.3312 0.0019 0.6230
0.6688 0.6707 0.1230
0.0000 0.0000 0.5000
0.0000 0.0000 0.0000
0.3333 0.6667 0.2500
0.6667 0.3333 0.7500
```

Crystal system   trigonal
DOS(E_F)   0.53 states/eV per atom
Energy relative to the elements   -432 meV per atom

Entry 5:
An optimized crystal structure of Nb2GePd. Source: Alexandria via LeMat-Bulk, functional GGA-PBE.

POSCAR file:
```
Nb2GePd
1.0
-1.5447 -0.3765 7.0518
-2.0850 -6.8724 -0.8237
0.7472 -4.4637 3.6305
Ge Nb Pd
2 4 2
direct
0.2500 0.7500 0.5000
0.5000 0.5000 0.0000
0.6192 0.1250 0.2500
0.3750 0.3808 0.7500
0.8750 0.8692 0.7500
0.1308 0.6250 0.2500
0.0000 0.0000 0.0000
0.7500 0.2500 0.5000
```

Crystal system   tetragonal
DOS(E_F)   0.46 states/eV per atom
Energy relative to the elements   37 meV per atom

Entry 6:
An optimized crystal structure of AcPm4Y. Source: Alexandria via LeMat-Bulk, functional GGA-PBE.

POSCAR file:
```
AcPm4Y
1.0
9.0468 0.4703 -2.3633
-4.4441 4.0005 -0.7861
-0.1754 1.8866 10.5330
Pm Ac Y
8 2 2
direct
0.8718 0.6216 0.2300
0.5455 0.2954 0.5808
0.1282 0.3784 0.7700
0.6417 0.8915 0.7700
0.9648 0.2147 0.4192
0.0352 0.7853 0.5808
0.4545 0.7046 0.4192
0.3583 0.1085 0.2300
0.4466 0.1966 0.8931
0.5534 0.8034 0.1069
0.9496 0.6996 0.8992
0.0504 0.3004 0.1008
```

Crystal system   monoclinic
DOS(E_F)   1.65 states/eV per atom
Energy relative to the elements   174 meV per atom
Energy above the lowest structure with this stoichiometry   0.145 eV/atom

Entry 7:
An optimized crystal structure of Nd8Y2Cd. Source: Alexandria via LeMat-Bulk, functional GGA-PBE.

POSCAR file:
```
Nd8Y2Cd
1.0
-0.6882 -4.2633 -2.8170
1.4253 -1.1013 6.0371
-11.4414 -1.6718 5.3251
Y Nd Cd
2 8 1
direct
0.3152 0.6304 0.2602
0.6848 0.3696 0.7398
0.7519 0.5037 0.0872
0.2481 0.4963 0.9128
0.1403 0.2806 0.5470
0.0362 0.0723 0.1763
0.4102 0.8203 0.6400
0.9638 0.9277 0.8237
0.5898 0.1797 0.3600
0.8597 0.7194 0.4530
0.5000 0.0000 0.0000
```

Crystal system   monoclinic
DOS(E_F)   1.40 states/eV per atom
Energy relative to the elements   -19 meV per atom
Energy above the lowest structure with this stoichiometry   0.000 eV/atom

Entry 8:
An optimized crystal structure of TaIn2SbS. Source: Alexandria via LeMat-Bulk, functional GGA-PBE.

POSCAR file:
```
TaIn2SbS
1.0
5.7150 0.0000 0.0000
0.0000 5.2847 0.0000
0.0000 0.0000 5.7150
In Ta Sb S
2 1 1 1
direct
0.0000 0.0000 0.5000
0.5000 0.0000 0.0000
0.0000 0.5000 0.0000
0.0000 0.0000 0.0000
0.5000 0.5000 0.5000
```

ΔE_f (raw)   1.25 eV/atom
Crystal system   tetragonal
DOS(E_F)   0.82 states/eV per atom